# BeCr2Ni

A relaxed structure of BeCr2Ni (GGA-PBE, Alexandria).

Properties
* E: -7.133 eV per atom
* V: 10.7 Å³/atom

CIF file:
```
data_BeCr2Ni
_chemical_formula_sum 'Be1 Cr2 Ni1'
_cell_length_a 2.398
_cell_length_b 3.534
_cell_length_c 5.030
_cell_angle_alpha 90.00
_cell_angle_beta 90.00
_cell_angle_gamma 90.00
_symmetry_space_group_name_H-M 'P m m 2'
_symmetry_Int_Tables_number 25
loop_
_symmetry_equiv_pos_as_xyz
'x,y,z'
'-x,-y,z'
'-x,y,z'
'x,-y,z'
loop_
_atom_site_label
_atom_site_type_symbol
_atom_site_fract_x
_atom_site_fract_y
_atom_site_fract_z
_atom_site_occupancy
Be1 Be 0.000 0.000 0.000 1
Cr1 Cr 0.000 0.000 0.507 1
Cr2 Cr 0.500 0.500 0.253 1
Ni1 Ni 0.500 0.500 0.786 1
```